GeW3Se8 | PBE | optimized geometry

Lattice parameters (Å, degrees): 7.094 7.094 12.745 90.00 90.00 120.00
Positions (direct):
Se 0.164 0.836 0.610
Se 0.328 0.164 0.110
Se 0.164 0.328 0.610
Se 0.836 0.672 0.110
Se 0.672 0.836 0.610
Se 0.006 0.503 0.344
Se 0.836 0.164 0.110
Se 0.333 0.667 0.064
Se 0.000 0.000 0.300
Se 0.000 0.000 0.800
Se 0.667 0.333 0.564
Se 0.497 0.994 0.344
Se 0.503 0.497 0.844
Se 0.497 0.503 0.344
Se 0.994 0.497 0.844
Se 0.503 0.006 0.844
Ge 0.667 0.333 0.991
Ge 0.333 0.667 0.491
W 0.600 0.800 0.213
W 0.400 0.200 0.713
W 0.800 0.200 0.713
W 0.200 0.800 0.213
W 0.200 0.400 0.213
W 0.800 0.600 0.713

Summary:
- magnetic moment (μB/cell) = 0.00
- formation energy from raw total energies (eV per atom) = -0.32
- symmetry = P6_3mc